[1]
The following is a DFT calculation (PBE-GGA) of a geometry-optimized KMgBS3 structure.

abc: 3.519 7.346 10.101
angles: 90.00 90.00 103.86
Atoms (fractional coordinates):
S 0.612 0.224 0.090
S 0.046 0.093 0.750
K 0.261 0.523 0.250
B 0.456 0.912 0.750
S 0.388 0.776 0.910
B 0.544 0.088 0.250
Mg 0.000 0.000 0.500
S 0.612 0.224 0.410
S 0.388 0.776 0.590
K 0.739 0.477 0.750
Mg 0.000 0.000 0.000
S 0.954 0.907 0.250

DOS(E_F)   0.0 states/eV per cell
Space-group type   Cmcm (63)
E_form (uncorrected)   -936 meV per atom

=====

[2]
The following is a DFT calculation (PBE-GGA) of a geometry-optimized MgCoIr structure.

abc: 4.840 4.840 4.840
angles: 145.92 136.69 56.22
Site moments in Bohr magnetons follow the coordinates.
Atoms (fractional coordinates):
Mg 0.667 0.667 0.000  -0.01
Ir 0.348 0.348 0.000  0.60
Co 0.985 0.985 0.000  1.76

Energy relative to the lowest polymorph listed for this composition   145 meV/atom
DOS(E_F)   2.8 states/eV per cell
Space-group type   Imm2 (44)

=====

[3]
The following is a DFT calculation (PBE-GGA) of a geometry-optimized Li2TcAg structure.

abc: 4.771 2.602 4.932
angles: 89.94 90.00 90.00
Site moments in Bohr magnetons follow the coordinates.
Atoms (fractional coordinates):
Li 0.000 0.875 0.038  0.00
Tc 0.000 0.376 0.543  0.57
Li 0.500 0.374 0.213  0.00
Ag 0.500 0.875 0.706  0.02

Energy relative to the lowest polymorph listed for this composition   162 meV/atom
DOS(E_F)   3.0 states/eV per cell
Space-group type   Pmm2 (25)

=====

Across the entries above, total energy takes the values -4.5617; -5.8745; -3.9869 eV/atom, respectively.
Across the entries above, calculated density takes the values 2.23; 10.57; 5.96 g/cm3, respectively.